DFT (PBE) results for a relaxed structure of Sb2Pt.

```
data_Sb2Pt
_chemical_formula_sum 'Sb4 Pt2'
_space_group_name_H-M_alt 'P 1'
_space_group_IT_number 1
_cell_length_a 8.2784
_cell_length_b 8.2784
_cell_length_c 8.2784
_cell_angle_alpha 60.00
_cell_angle_beta 60.00
_cell_angle_gamma 60.00
loop_
_space_group_symop_operation_xyz
'x,y,z'
loop_
_atom_site_label
_atom_site_fract_x
_atom_site_fract_y
_atom_site_fract_z
Sb1 0.3750 0.3750 0.8750
Sb2 0.3750 0.3750 0.3750
Sb3 0.8750 0.3750 0.3750
Sb4 0.3750 0.8750 0.3750
Pt1 0.2500 0.2500 0.2500
Pt2 0.5000 0.5000 0.5000
```

Magnetization   2.00 μB/f.u.
Electronic total energy   -4.03 eV/atom

***

DFT (PBE) results for a relaxed structure of SbPt2.

```
data_SbPt2
_chemical_formula_sum 'Sb2 Pt4'
_space_group_name_H-M_alt 'P 1'
_space_group_IT_number 1
_cell_length_a 5.4148
_cell_length_b 5.4148
_cell_length_c 5.4148
_cell_angle_alpha 60.00
_cell_angle_beta 60.00
_cell_angle_gamma 60.00
loop_
_space_group_symop_operation_xyz
'x,y,z'
loop_
_atom_site_label
_atom_site_fract_x
_atom_site_fract_y
_atom_site_fract_z
Pt1 0.6250 0.1250 0.6250
Pt2 0.6250 0.6250 0.1250
Pt3 0.1250 0.6250 0.6250
Pt4 0.6250 0.6250 0.6250
Sb1 0.2500 0.2500 0.2500
Sb2 0.0000 0.0000 0.0000
```

Magnetization   0.00 μB/f.u.
Electronic total energy   -5.40 eV/atom

***

DFT (PBE) results for a relaxed structure of SbPt.

```
data_SbPt
_chemical_formula_sum 'Sb1 Pt1'
_space_group_name_H-M_alt 'P 1'
_space_group_IT_number 1
_cell_length_a 3.6391
_cell_length_b 3.6391
_cell_length_c 3.6648
_cell_angle_alpha 90.00
_cell_angle_beta 90.00
_cell_angle_gamma 120.00
loop_
_space_group_symop_operation_xyz
'x,y,z'
loop_
_atom_site_label
_atom_site_fract_x
_atom_site_fract_y
_atom_site_fract_z
Pt1 0.6667 0.3333 0.7500
Sb1 0.3333 0.6667 0.2500
```

Magnetization   0.00 μB/f.u.
Electronic total energy   -5.18 eV/atom

***

DFT (PBE) results for a relaxed structure of Sb2Pt.

```
data_Sb2Pt
_chemical_formula_sum 'Sb4 Pt2'
_space_group_name_H-M_alt 'P 1'
_space_group_IT_number 1
_cell_length_a 5.9321
_cell_length_b 5.9321
_cell_length_c 5.9321
_cell_angle_alpha 60.00
_cell_angle_beta 60.00
_cell_angle_gamma 60.00
loop_
_space_group_symop_operation_xyz
'x,y,z'
loop_
_atom_site_label
_atom_site_fract_x
_atom_site_fract_y
_atom_site_fract_z
Pt1 0.2500 0.2500 0.2500
Pt2 0.0000 0.0000 0.0000
Sb1 0.6250 0.6250 0.6250
Sb2 0.6250 0.1250 0.6250
Sb3 0.6250 0.6250 0.1250
Sb4 0.1250 0.6250 0.6250
```

Magnetization   0.00 μB/f.u.
Electronic total energy   -3.94 eV/atom

***

DFT (PBE) results for a relaxed structure of YScSb2Pt2.

```
data_YScSb2Pt2
_chemical_formula_sum 'Y4 Sc4 Sb8 Pt8'
_space_group_name_H-M_alt 'P 1'
_space_group_IT_number 1
_cell_length_a 9.1900
_cell_length_b 4.5892
_cell_length_c 13.7719
_cell_angle_alpha 90.00
_cell_angle_beta 109.40
_cell_angle_gamma 90.00
loop_
_space_group_symop_operation_xyz
'x,y,z'
loop_
_atom_site_label
_atom_site_fract_x
_atom_site_fract_y
_atom_site_fract_z
Pt1 0.8789 0.0000 0.2593
Pt2 0.2545 0.5000 0.4968
Pt3 0.7419 0.5000 0.4972
Pt4 0.1360 0.0000 0.7527
Pt5 0.6157 0.0000 0.7447
Pt6 0.3801 0.0000 0.2586
Pt7 0.9995 0.5000 0.0002
Pt8 0.4976 0.5000 0.9929
Sb1 0.8062 0.0000 0.6222
Sb2 0.3141 0.0000 0.6216
Sb3 0.6814 0.5000 0.8701
Sb4 0.1909 0.5000 0.8748
Sb5 0.4387 0.5000 0.3770
Sb6 0.9385 0.5000 0.3777
Sb7 0.5631 0.0000 0.1254
Sb8 0.0645 0.0000 0.1297
Y1 0.0623 0.5000 0.6243
Y2 0.3143 0.5000 0.1264
Y3 0.8120 0.5000 0.1265
Y4 0.9360 0.0000 0.8733
Sc1 0.5598 0.5000 0.6228
Sc2 0.6872 0.0000 0.3766
Sc3 0.1891 0.0000 0.3765
Sc4 0.4379 0.0000 0.8730
```

Magnetization   0.00 μB/f.u.
Electronic total energy   -6.71 eV/atom

***

DFT (PBE) results for a relaxed structure of SbPtSe.

```
data_SbPtSe
_chemical_formula_sum 'Sb4 Pt4 Se4'
_space_group_name_H-M_alt 'P 1'
_space_group_IT_number 1
_cell_length_a 6.4037
_cell_length_b 6.4037
_cell_length_c 6.4037
_cell_angle_alpha 90.00
_cell_angle_beta 90.00
_cell_angle_gamma 90.00
loop_
_space_group_symop_operation_xyz
'x,y,z'
loop_
_atom_site_label
_atom_site_fract_x
_atom_site_fract_y
_atom_site_fract_z
Sb1 0.6243 0.6243 0.6243
Sb2 0.3757 0.1243 0.8757
Sb3 0.8757 0.3757 0.1243
Sb4 0.1243 0.8757 0.3757
Pt1 0.0014 0.4986 0.5014
Pt2 0.9986 0.9986 0.9986
Pt3 0.4986 0.5014 0.0014
Pt4 0.5014 0.0014 0.4986
Se1 0.6191 0.8809 0.1191
Se2 0.8809 0.1191 0.6191
Se3 0.1191 0.6191 0.8809
Se4 0.3809 0.3809 0.3809
```

Magnetization   0.00 μB/f.u.
Electronic total energy   -4.99 eV/atom

***

DFT (PBE) results for a relaxed structure of Si3Sb2Pt2.

```
data_Si3Sb2Pt2
_chemical_formula_sum 'Si3 Sb2 Pt2'
_space_group_name_H-M_alt 'P 1'
_space_group_IT_number 1
_cell_length_a 9.1092
_cell_length_b 9.1092
_cell_length_c 9.1092
_cell_angle_alpha 27.37
_cell_angle_beta 27.37
_cell_angle_gamma 27.37
loop_
_space_group_symop_operation_xyz
'x,y,z'
loop_
_atom_site_label
_atom_site_fract_x
_atom_site_fract_y
_atom_site_fract_z
Pt1 0.4710 0.4710 0.4710
Pt2 0.0014 0.0014 0.0014
Si1 0.9122 0.9122 0.9122
Si2 0.6578 0.6578 0.6578
Si3 0.3705 0.3705 0.3705
Sb1 0.7674 0.7674 0.7674
Sb2 0.1946 0.1946 0.1946
```

Magnetization   0.01 μB/f.u.
Electronic total energy   -5.30 eV/atom

***

DFT (PBE) results for a relaxed structure of SnSbPt2.

```
data_SnSbPt2
_chemical_formula_sum 'Sn1 Sb1 Pt2'
_space_group_name_H-M_alt 'P 1'
_space_group_IT_number 1
_cell_length_a 4.1837
_cell_length_b 4.1837
_cell_length_c 5.5419
_cell_angle_alpha 90.00
_cell_angle_beta 90.00
_cell_angle_gamma 120.00
loop_
_space_group_symop_operation_xyz
'x,y,z'
loop_
_atom_site_label
_atom_site_fract_x
_atom_site_fract_y
_atom_site_fract_z
Sn1 0.6667 0.3333 0.5000
Pt1 0.3333 0.6667 0.7501
Pt2 0.3333 0.6667 0.2499
Sb1 0.0000 0.0000 0.0000
```

Magnetization   0.00 μB/f.u.
Electronic total energy   -5.57 eV/atom